Entry from the Alexandria database: a geometry-optimized Sn2AsI structure (PBE).

The calculated density is 6.5 g cm⁻³. For the formation energy from raw total energies, the calculation gives 0.163 eV per atom. The value obtained for the energy above the most stable polymorph in this dataset is 0.345 eV/atom. The calculation puts the total energy at -3.389 eV/atom.

The structure belongs to space group Fm-3m (No. 225); the cell edges are 7.6390, 7.6390 and 7.6390 Å and the angles 90.00°, 90.00° and 90.00°. The distinct sites, in fractional coordinates, are Sn at (0.2500, 0.2500, 0.2500), As at (0.0000, 0.0000, 0.0000) and I at (0.0000, 0.0000, 0.5000).